# 1
CeOF | PBE-GGA | optimized geometry

Summary:
**E**: -23.86 eV per formula unit
**E_form (uncorrected)**: -3.70 eV per atom
**Space group**: No. 129
**Theoretical density**: 6.22 g/cm³

Cell lengths 4.026, 4.026, 5.766 Å; angles 90.00, 90.00, 90.00 degrees
Last column: magnetic moment on the atom in μB.
Atoms (fractional coordinates):
1 F 0.500 0.500 0.000  0.00
2 F 0.000 0.000 0.000  0.00
3 Ce 0.500 0.000 0.713  0.94
4 Ce 0.000 0.500 0.287  0.94
5 O 0.000 0.000 0.500  -0.03
6 O 0.500 0.500 0.500  -0.03

=====

# 2
CeOF | PBE-GGA | optimized geometry

Summary:
**E**: -23.87 eV per formula unit
**E_form (uncorrected)**: -3.70 eV per atom
**Space group**: No. 166
**Theoretical density**: 6.31 g/cm³

Cell lengths 7.068, 7.068, 7.068 Å; angles 32.79, 32.79, 32.79 degrees
Last column: magnetic moment on the atom in μB.
Atoms (fractional coordinates):
1 O 0.877 0.877 0.877  -0.02
2 O 0.123 0.123 0.123  -0.02
3 Ce 0.760 0.760 0.760  0.93
4 Ce 0.240 0.240 0.240  0.93
5 F 0.630 0.630 0.630  0.00
6 F 0.370 0.370 0.370  0.00